Record 1
Below is a PBEsol-optimized structure of MgAlPt2, with properties calculated at the meta-GGA SCAN level.

* V: 59.67 Å³/cell
* magnetic moment: 0.000 μB per formula unit
* formation energy: -0.996 eV/atom

Cell lengths 3.729, 3.729, 5.036 Å; angles 111.73, 111.73, 90.00 degrees
Element x y z (fractional)
Al1 0.500 0.500 0.000
Pt1 0.000 0.000 0.000
Pt2 0.750 0.250 0.500
Mg1 0.250 0.750 0.500


Record 2
Below is a PBEsol-optimized structure of OsRu2Br, with properties calculated at the meta-GGA SCAN level.

* V: 58.99 Å³/cell
* formation energy (no corrections): 0.934 eV/atom
* magnetic moment: 0.000 μB per formula unit
* excess energy over the best structure of this formula in the dataset: 0 meV/atom

Cell lengths 2.812, 2.812, 7.460 Å; angles 90.00, 90.00, 90.00 degrees
Element x y z (fractional)
Ru1 0.000 0.000 0.998
Ru2 0.500 0.500 0.243
Br1 0.000 0.000 0.489
Os1 0.500 0.500 0.770


Record 3
Below is a PBEsol-optimized structure of BaSi2H6O8, with properties calculated at the meta-GGA SCAN level.

* V: 691.73 Å³/cell
* magnetic moment: 0.083 μB per formula unit
* VASP energy: -9.72 eV per atom

Cell lengths 7.821, 8.428, 10.538 Å; angles 90.00, 90.00, 95.24 degrees
Element x y z (fractional)
O1 0.006 0.168 0.071
O2 0.880 0.540 0.119
H1 0.185 0.726 0.173
Si1 0.699 0.035 0.744
Ba1 0.199 0.127 0.852
Ba2 0.801 0.873 0.148
H2 0.592 0.340 0.929
O3 0.513 0.724 0.034
H3 0.930 0.275 0.641
H4 0.168 0.999 0.536
Si2 0.513 0.724 0.386
O4 0.120 0.960 0.619
H5 0.992 0.955 0.611
O5 0.994 0.332 0.571
O6 0.643 0.421 0.633
O7 0.994 0.832 0.929
O8 0.006 0.668 0.429
H6 0.832 0.501 0.036
O9 0.120 0.460 0.881
Si3 0.513 0.224 0.114
Si4 0.301 0.965 0.256
H7 0.882 0.692 0.413
H8 0.185 0.226 0.327
O10 0.699 0.175 0.150
Si5 0.301 0.465 0.244
H9 0.008 0.045 0.389
O11 0.145 0.330 0.285
O12 0.357 0.079 0.133
O13 0.880 0.040 0.381
O14 0.357 0.579 0.367
Ba3 0.801 0.373 0.352
H10 0.815 0.774 0.673
H11 0.815 0.274 0.827
O15 0.145 0.830 0.215
H12 0.168 0.499 0.964
O16 0.471 0.374 0.207
H13 0.408 0.660 0.071
H14 0.930 0.775 0.859
H15 0.008 0.545 0.111
H16 0.992 0.455 0.889
O17 0.487 0.276 0.966
H17 0.882 0.192 0.087
H18 0.832 0.001 0.464
O18 0.529 0.626 0.793
O19 0.471 0.874 0.293
Si6 0.699 0.535 0.756
Ba4 0.199 0.627 0.648
O20 0.487 0.776 0.534
O21 0.235 0.070 0.372
O22 0.855 0.170 0.785
H19 0.118 0.308 0.587
Si7 0.487 0.776 0.886
O23 0.765 0.430 0.872
H20 0.070 0.225 0.141
O24 0.855 0.670 0.715
O25 0.643 0.921 0.867
O26 0.765 0.930 0.628
O27 0.529 0.126 0.707
H21 0.070 0.725 0.359
H22 0.408 0.160 0.429
Si8 0.487 0.276 0.614
O28 0.699 0.675 0.350
H23 0.592 0.840 0.571
O29 0.301 0.825 0.850
O30 0.513 0.224 0.466
O31 0.235 0.570 0.128
O32 0.301 0.325 0.650
H24 0.118 0.808 0.913


Record 4
Below is a PBEsol-optimized structure of MnF4, with properties calculated at the meta-GGA SCAN level.

* V: 118.42 Å³/cell
* formation energy (no corrections): -2.503 eV/atom
* magnetic moment: 3.000 μB per formula unit

Cell lengths 4.553, 5.260, 5.539 Å; angles 63.22, 89.96, 90.00 degrees
Last column: magnetic moment on the atom in μB.
Element x y z (fractional)
F1 0.193 0.643 0.697  0.14
Mn1 0.500 0.000 0.000  2.62
F2 0.807 0.357 0.303  0.14
F3 0.249 0.182 0.141  0.02
F4 0.307 0.143 0.697  0.14
F5 0.251 0.682 0.141  0.02
F6 0.693 0.857 0.303  0.14
F7 0.751 0.818 0.859  0.02
F8 0.749 0.318 0.859  0.02
Mn2 0.000 0.500 0.000  2.62


Q: magnetic moment of number 4 (MnF4)?
A: 3.000 μB per formula unit